1.
Below is an optimized crystal structure of CsTbMnTe3, with properties calculated at the PBE level.

```
CsTbMnTe3
1.0
-0.662 4.475 -0.202
-2.303 -0.794 -10.032
-8.897 -1.031 6.314
Tb Te Mn Cs
2 6 2 2
direct
0.750 0.331 0.863
0.250 0.669 0.137
0.750 0.202 0.544
0.250 0.525 0.838
0.750 0.880 0.137
0.750 0.475 0.162
0.250 0.798 0.456
0.250 0.120 0.863
0.750 0.915 0.391
0.250 0.085 0.609
0.750 0.784 0.755
0.250 0.216 0.245
```

Values from the calculation:
* ΔE_f (raw): -992.7 meV per atom
* SG: P2_1/m, No. 11
* total moment: 0.83 μB/atom
* density of states at the Fermi level: 0.21 states/eV/f.u.

---

2.
Below is an optimized crystal structure of CsTb2MnTe4, with properties calculated at the PBE level.

```
CsTb2MnTe4
1.0
4.457 0.000 0.000
-2.228 7.909 0.000
0.000 0.000 15.609
Te Tb Mn Cs
8 4 2 2
direct
0.572 0.144 0.250
0.428 0.856 0.750
0.260 0.520 0.106
0.260 0.520 0.394
0.000 0.000 0.500
0.740 0.480 0.606
0.000 0.000 0.000
0.740 0.480 0.894
0.370 0.741 0.561
0.630 0.259 0.439
0.630 0.259 0.061
0.370 0.741 0.939
0.831 0.662 0.750
0.169 0.338 0.250
0.890 0.779 0.250
0.110 0.221 0.750
```

Values from the calculation:
* ΔE_f (raw): -1067.4 meV per atom
* SG: Cmcm, No. 63
* total moment: 0.52 μB/atom
* density of states at the Fermi level: 3.24 states/eV/f.u.

---

3.
Below is an optimized crystal structure of CsMn3Tc, with properties calculated at the PBE level.

```
CsMn3Tc
1.0
4.865 0.000 0.000
0.000 4.865 0.000
0.000 0.000 4.865
Mn Cs Tc
3 1 1
direct
0.000 0.000 0.500
0.500 0.000 0.000
0.000 0.500 0.000
0.000 0.000 0.000
0.500 0.500 0.500
```

Values from the calculation:
* SG: Pm-3m, No. 221
* formation energy from the elements: 2855 meV per atom
* total moment: 1.44 μB/atom
* density of states at the Fermi level: 7.80 states/eV/f.u.

---

4.
Below is an optimized crystal structure of Cs2Mn2Tc, with properties calculated at the PBE level.

```
Cs2Mn2Tc
1.0
-7.913 2.319 5.303
0.500 -8.675 4.540
1.865 1.272 2.226
Mn Tc Cs
4 2 4
direct
0.683 0.817 0.500
0.817 0.317 0.500
0.317 0.183 0.500
0.183 0.683 0.500
0.000 0.000 0.000
0.500 0.500 0.000
0.374 0.874 0.000
0.126 0.374 0.000
0.874 0.626 0.000
0.626 0.126 0.000
```

Values from the calculation:
* SG: P4/mbm, No. 127
* formation energy from the elements: 2180 meV per atom
* total moment: 1.79 μB/atom
* density of states at the Fermi level: 13.52 states/eV/f.u.

---

5.
Below is an optimized crystal structure of CsMn3Te, with properties calculated at the PBE level.

```
CsMn3Te
1.0
5.208 0.000 0.000
0.000 5.208 0.000
0.000 0.000 5.208
Te Cs Mn
1 1 3
direct
0.500 0.500 0.500
0.000 0.000 0.000
0.000 0.500 0.000
0.500 0.000 0.000
0.000 0.000 0.500
```

Values from the calculation:
* ΔE_f (raw): 2069.7 meV per atom
* SG: Pm-3m, No. 221
* total moment: 2.38 μB/atom
* ΔE to the lowest computed polymorph: 5.26 eV per formula unit
* density of states at the Fermi level: 4.04 states/eV/f.u.

---

6.
Below is an optimized crystal structure of CsMn3Te, with properties calculated at the PBE level.

```
CsMn3Te
1.0
-5.005 0.260 -1.306
0.107 -4.984 -1.402
-1.327 -1.382 4.811
Cs Te Mn
1 1 3
direct
0.500 0.500 0.500
0.000 0.000 0.000
0.000 0.500 0.000
0.000 0.000 0.500
0.500 0.000 0.000
```

Values from the calculation:
* ΔE_f (raw): 1016.8 meV per atom
* SG: Pm-3m, No. 221
* total moment: 2.02 μB/atom
* ΔE to the lowest computed polymorph: 0.00 eV per formula unit
* density of states at the Fermi level: 4.65 states/eV/f.u.

---

7.
Below is an optimized crystal structure of Cs3MnTe, with properties calculated at the PBE level.

```
Cs3MnTe
1.0
-0.083 -5.252 -3.029
5.869 0.691 -1.358
1.521 -2.951 5.074
Cs Te Mn
3 1 1
direct
0.000 0.500 0.000
0.000 0.000 0.500
0.500 0.000 0.000
0.500 0.500 0.500
0.000 0.000 0.000
```

Values from the calculation:
* ΔE_f (raw): 353.9 meV per atom
* SG: Pm-3m, No. 221
* total moment: 0.80 μB/atom
* density of states at the Fermi level: 4.67 states/eV/f.u.

---

8.
Below is an optimized crystal structure of CsMn2Te2, with properties calculated at the PBE level.

```
CsMn2Te2
1.0
-2.264 2.264 7.950
2.264 -2.264 7.950
2.264 2.264 -7.950
Te Mn Cs
2 2 1
direct
0.649 0.649 0.000
0.351 0.351 0.000
0.250 0.750 0.500
0.750 0.250 0.500
0.000 0.000 0.000
```

Values from the calculation:
* ΔE_f (raw): -359.9 meV per atom
* SG: I4/mmm, No. 139
* total moment: 1.80 μB/atom
* density of states at the Fermi level: 2.91 states/eV/f.u.